# 1
# BiSbS3 (GGA-PBE, optimized geometry)
data_BiSbS3
_space_group_name_H-M_alt 'P m -3 m'
_space_group_IT_number 221
_space_group_name_Hall '-P 4 2 3'
_cell_length_a 5.003
_cell_length_b 5.003
_cell_length_c 5.003
_cell_angle_alpha 90.00
_cell_angle_beta 90.00
_cell_angle_gamma 90.00
loop_
_atom_site_label
_atom_site_type_symbol
_atom_site_fract_x
_atom_site_fract_y
_atom_site_fract_z
Bi1 Bi 0.000 0.000 0.000
Sb1 Sb 0.500 0.500 0.500
S1 S 0.000 0.500 0.500
# size of the total moment = 0.00 Bohr magnetons per cell
# energy relative to the elements, uncorrected = 0.266 eV/atom
# Fermi-level density of states = 0.456 states/eV per atom
# mass density = 5.66 g/cm3
# energy above the lowest structure with this stoichiometry = 0.571 eV per atom

# 2
# CeSm2Mn (GGA-PBE, optimized geometry)
data_CeSm2Mn
_space_group_name_H-M_alt 'P 4/m m m'
_space_group_IT_number 123
_space_group_name_Hall '-P 4 2'
_cell_length_a 3.543
_cell_length_b 3.543
_cell_length_c 8.835
_cell_angle_alpha 90.00
_cell_angle_beta 90.00
_cell_angle_gamma 90.00
loop_
_atom_site_label
_atom_site_type_symbol
_atom_site_fract_x
_atom_site_fract_y
_atom_site_fract_z
Ce1 Ce 0.000 0.000 0.000
Sm1 Sm 0.500 0.500 0.293
Mn1 Mn 0.000 0.000 0.500
# energy relative to the elements = 0.80 eV per formula unit
# size of the total moment = 4.66 Bohr magnetons per cell
# Fermi-level density of states = 1.992 states/eV per atom
# mass density = 7.42 g/cm3
# energy above the lowest structure with this stoichiometry = 0.000 eV per atom

# 3
# Sm2Dy2GaRh4 (GGA-PBE, optimized geometry)
data_Sm2Dy2GaRh4
_space_group_name_H-M_alt 'I 4/m m m'
_space_group_IT_number 139
_space_group_name_Hall '-I 4 2'
_cell_length_a 6.643
_cell_length_b 6.643
_cell_length_c 8.793
_cell_angle_alpha 90.00
_cell_angle_beta 90.00
_cell_angle_gamma 90.00
loop_
_atom_site_label
_atom_site_type_symbol
_atom_site_fract_x
_atom_site_fract_y
_atom_site_fract_z
Sm1 Sm 0.000 0.000 0.186
Dy1 Dy 0.000 0.500 0.250
Ga1 Ga 0.000 0.000 0.500
Rh1 Rh 0.242 0.242 0.000
# energy relative to the elements = -4.02 eV per formula unit
# size of the total moment = 0.00 Bohr magnetons per cell
# Fermi-level density of states = 0.728 states/eV per atom
# mass density = 9.48 g/cm3

# 4
# PrNd3 (GGA-PBE, optimized geometry)
data_PrNd3
_space_group_name_H-M_alt 'F m -3 m'
_space_group_IT_number 225
_space_group_name_Hall '-F 4 2 3'
_cell_length_a 8.284
_cell_length_b 8.284
_cell_length_c 8.284
_cell_angle_alpha 90.00
_cell_angle_beta 90.00
_cell_angle_gamma 90.00
loop_
_atom_site_label
_atom_site_type_symbol
_atom_site_fract_x
_atom_site_fract_y
_atom_site_fract_z
Pr1 Pr 0.000 0.000 0.000
Nd1 Nd 0.000 0.000 0.500
Nd2 Nd 0.250 0.250 0.250
# energy relative to the elements = 0.52 eV per formula unit
# size of the total moment = 0.01 Bohr magnetons per cell
# Fermi-level density of states = 2.695 states/eV per atom
# mass density = 6.70 g/cm3
# energy above the lowest structure with this stoichiometry = 0.119 eV per atom

# 5
# Ca2CoPt (GGA-PBE, optimized geometry)
data_Ca2CoPt
_space_group_name_H-M_alt 'R -3 m'
_space_group_IT_number 166
_space_group_name_Hall '-R 3 2"'
_cell_length_a 3.8816
_cell_length_b 3.8816
_cell_length_c 22.6235
_cell_angle_alpha 90.00
_cell_angle_beta 90.00
_cell_angle_gamma 120.00
loop_
_atom_site_label
_atom_site_type_symbol
_atom_site_fract_x
_atom_site_fract_y
_atom_site_fract_z
Ca1 Ca 0.0000 0.0000 0.2454
Co1 Co 0.0000 0.0000 0.0000
Pt1 Pt 0.0000 0.0000 0.5000
# energy relative to the elements = 0.26 eV per formula unit
# size of the total moment = 3.84 Bohr magnetons per cell
# Fermi-level density of states = 0.716 states/eV per atom
# mass density = 5.64 g/cm3

# 6
# Tb3DyEr3 (GGA-PBE, optimized geometry)
data_Tb3DyEr3
_space_group_name_H-M_alt 'R -3'
_space_group_IT_number 148
_space_group_name_Hall '-R 3'
_cell_length_a 6.1262
_cell_length_b 6.1262
_cell_length_c 42.2534
_cell_angle_alpha 90.00
_cell_angle_beta 90.00
_cell_angle_gamma 120.00
loop_
_atom_site_label
_atom_site_type_symbol
_atom_site_fract_x
_atom_site_fract_y
_atom_site_fract_z
Tb1 Tb 0.0001 0.3312 0.1324
Dy1 Dy 0.0000 0.0000 0.3333
Er1 Er 0.0004 0.3332 0.2673
# energy relative to the elements = 1.04 eV per formula unit
# size of the total moment = 0.00 Bohr magnetons per cell
# Fermi-level density of states = 1.384 states/eV per atom
# mass density = 8.28 g/cm3
# energy above the lowest structure with this stoichiometry = 0.140 eV per atom